A geometry-optimized LiMg6Rh3 structure, computed with PBE.

a = 7.262 Å, b = 6.987 Å, c = 8.790 Å
α = 90.00°, β = 125.69°, γ = 90.00°
Space group P2_1/c (No. 14)
Unique sites:
Li 0.000 0.000 0.000 (multiplicity 2)
Mg 0.123 0.091 0.678 (multiplicity 4)
Mg 0.245 0.708 0.831 (multiplicity 4)
Mg 0.469 0.127 0.276 (multiplicity 4)
Rh 0.252 0.148 0.448 (multiplicity 4)
Rh 0.500 0.000 0.000 (multiplicity 2)

ΔH_f (0 K) = -242 meV per atom
M_tot = 0.000 μB per formula unit
theoretical density = 4.231 g/cm3
total energy = -3.5960 eV/atom

***

A geometry-optimized LiMgRh structure, computed with PBE.

a = 2.860 Å, b = 4.428 Å, c = 4.461 Å
α = 90.00°, β = 90.00°, γ = 90.00°
Space group Pmmm (No. 47)
Unique sites:
Li 0.000 0.000 0.000 (multiplicity 1)
Mg 0.000 0.500 0.500 (multiplicity 1)
Rh 0.500 0.000 0.500 (multiplicity 1)

ΔH_f (0 K) = -117 meV per atom
M_tot = 0.057 μB per formula unit
theoretical density = 3.943 g/cm3
E above lowest polymorph = 0.166 eV/atom
total energy = -3.7365 eV/atom

***

A geometry-optimized Li2Mg3Rh structure, computed with PBE.

a = 4.5746 Å, b = 4.5746 Å, c = 11.4586 Å
α = 90.00°, β = 90.00°, γ = 120.00°
Space group P-3m1 (No. 164)
Unique sites:
Li 0.0000 0.0000 0.0000 (multiplicity 1)
Li 0.0000 0.0000 0.5000 (multiplicity 1)
Li 0.3333 0.6667 0.1812 (multiplicity 2)
Mg 0.0000 0.0000 0.2656 (multiplicity 2)
Mg 0.3333 0.6667 0.4212 (multiplicity 2)
Mg 0.3333 0.6667 0.9043 (multiplicity 2)
Rh 0.3333 0.6667 0.6655 (multiplicity 2)

ΔH_f (0 K) = -265 meV per atom
M_tot = 0.000 μB per formula unit
theoretical density = 3.034 g/cm3
total energy = -2.9256 eV/atom

***

A geometry-optimized LiMg2Rh structure, computed with PBE.

a = 3.228 Å, b = 3.185 Å, c = 6.760 Å
α = 90.00°, β = 90.11°, γ = 90.00°
Space group P2/m (No. 10)
Unique sites:
Li 0.000 0.000 0.000 (multiplicity 1)
Mg 0.499 0.500 0.284 (multiplicity 2)
Rh 0.000 0.000 0.500 (multiplicity 1)

ΔH_f (0 K) = -338 meV per atom
M_tot = 0.000 μB per formula unit
theoretical density = 3.786 g/cm3
total energy = -3.4512 eV/atom

***

A geometry-optimized LiMgRh structure, computed with PBE.

a = 3.248 Å, b = 3.248 Å, c = 8.492 Å
α = 90.00°, β = 90.00°, γ = 90.00°
Space group I4mm (No. 107)
Unique sites:
Li 0.000 0.000 0.000 (multiplicity 2)
Mg 0.000 0.000 0.312 (multiplicity 2)
Rh 0.000 0.000 0.649 (multiplicity 2)

ΔH_f (0 K) = -282 meV per atom
M_tot = 0.000 μB per formula unit
theoretical density = 4.973 g/cm3
E above lowest polymorph = 0.000 eV/atom
total energy = -3.9024 eV/atom

***

A geometry-optimized LiMg2Rh structure, computed with PBE.

a = 9.720 Å, b = 3.183 Å, c = 4.542 Å
α = 90.00°, β = 109.84°, γ = 90.00°
Space group Cm (No. 8)
Unique sites:
Li 0.000 0.000 0.000 (multiplicity 2)
Mg 0.235 0.000 0.777 (multiplicity 2)
Mg 0.460 0.000 0.451 (multiplicity 2)
Rh 0.224 0.500 0.272 (multiplicity 2)

ΔH_f (0 K) = -292 meV per atom
M_tot = 0.000 μB per formula unit
theoretical density = 3.981 g/cm3
total energy = -3.4055 eV/atom